No. 1
{"formula": "Hf6Ir2O", "functional": "PBE-GGA", "state": "relaxed", "lattice": [[5.8571, 0.0000, 0.0764], [0.0000, 6.4018, 0.0000], [-0.6348, 0.0000, 9.0475]], "species": ["Ir", "Ir", "Ir", "Ir", "Hf", "Hf", "Hf", "Hf", "Hf", "Hf", "Hf", "Hf", "Hf", "Hf", "Hf", "Hf", "O", "O"], "fractional_positions": [[0.5657, 0.8908, 0.7398], [0.0657, 0.6092, 0.2398], [0.4343, 0.1092, 0.2602], [0.9343, 0.3908, 0.7602], [0.6333, 0.4790, 0.2490], [0.8347, 0.6816, 0.5534], [0.3347, 0.8184, 0.0534], [0.8258, 0.6929, 0.9461], [0.3258, 0.8071, 0.4461], [0.6653, 0.1816, 0.9466], [0.6742, 0.1929, 0.5539], [0.1653, 0.3184, 0.4466], [0.1333, 0.0210, 0.7490], [0.3667, 0.5210, 0.7510], [0.8667, 0.9790, 0.2510], [0.1742, 0.3071, 0.0539], [0.5000, 0.5000, 0.0000], [0.0000, 0.0000, 0.5000]], "sg": "No. 14", "e_form_raw_ev_per_atom": -1.0065}

No. 2
{"formula": "Pr2Tm3Th2", "functional": "PBE-GGA", "state": "relaxed", "lattice": [[-1.7639, -2.9983, 0.9176], [-1.0223, -5.1322, -11.6839], [5.1780, -1.7864, -2.9542]], "species": ["Tm", "Tm", "Tm", "Th", "Th", "Pr", "Pr"], "fractional_positions": [[0.0000, 0.0000, 0.0000], [0.2937, 0.5637, 0.1512], [0.7063, 0.4363, 0.8488], [0.1504, 0.2849, 0.5847], [0.8496, 0.7151, 0.4153], [0.5600, 0.1534, 0.2739], [0.4400, 0.8466, 0.7261]], "e_form_ev_per_atom": 0.04, "sg": "No. 12"}

No. 3
{"formula": "Pm8GeS3I4", "functional": "PBE-GGA", "state": "relaxed", "lattice": [[8.3382, 0.0000, 0.0000], [0.0000, 9.0194, 0.4831], [-4.1691, -4.1705, 5.8954]], "species": ["Pm", "Pm", "Pm", "Pm", "Pm", "Pm", "Pm", "Pm", "S", "S", "S", "I", "I", "I", "I", "Ge"], "fractional_positions": [[0.7184, 0.6888, 0.9536], [0.7276, 0.6827, 0.4551], [0.2352, 0.6888, 0.4704], [0.7648, 0.3112, 0.0464], [0.7648, 0.3112, 0.5296], [0.2816, 0.3112, 0.0464], [0.2724, 0.3173, 0.5449], [0.2352, 0.6888, 0.9536], [0.5000, 0.5000, 0.5000], [0.0000, 0.5000, 0.5000], [0.5000, 0.5000, 0.0000], [0.0000, 0.0000, 0.0000], [0.5000, 0.0000, 0.5000], [0.0000, 0.0000, 0.5000], [0.5000, 0.0000, 0.0000], [0.0000, 0.5000, 0.0000]], "sg": "No. 166", "e_form_raw_ev_per_atom": -1.3631}

No. 4
{"formula": "ErUPt2", "functional": "PBE-GGA", "state": "relaxed", "lattice": [[-0.7671, -2.2329, 2.2966], [-0.9344, -3.3965, -3.6144], [4.8186, -1.4933, 0.1575]], "species": ["Pt", "Pt", "U", "Er"], "fractional_positions": [[0.0000, 0.5000, 0.0000], [0.0000, 0.0000, 0.5000], [0.5000, 0.5000, 0.5000], [0.5000, 0.0000, 0.0000]], "e_form_ev_per_atom": -0.85, "sg": "No. 123"}

No. 5
{"formula": "Tc2HgH2", "functional": "PBE-GGA", "state": "relaxed", "lattice": [[3.0965, 0.0000, 0.0000], [0.0000, 3.0965, 0.0000], [1.5483, 1.5483, 5.8486]], "species": ["Tc", "Tc", "H", "H", "Hg"], "fractional_positions": [[0.6704, 0.6704, 0.6593], [0.3296, 0.3296, 0.3407], [0.7500, 0.2500, 0.5000], [0.2500, 0.7500, 0.5000], [0.0000, 0.0000, 0.0000]], "sg": "No. 139", "total_energy_ev_per_atom": -5.254}

No. 6
{"formula": "SrZn2Cd9", "functional": "PBE-GGA", "state": "relaxed", "lattice": [[6.9562, 0.0000, 3.2025], [3.4781, 8.3991, 1.6013], [-0.0343, 0.0000, 9.2306]], "species": ["Cd", "Cd", "Cd", "Cd", "Cd", "Cd", "Cd", "Cd", "Cd", "Cd", "Cd", "Cd", "Cd", "Cd", "Cd", "Cd", "Cd", "Cd", "Zn", "Zn", "Zn", "Zn", "Sr", "Sr"], "fractional_positions": [[0.1464, 0.1787, 0.4215], [0.0752, 0.9215, 0.3213], [0.0033, 0.9215, 0.6787], [0.6748, 0.1787, 0.5785], [0.0752, 0.3213, 0.9215], [0.1464, 0.4215, 0.1787], [0.7500, 0.5000, 0.5000], [0.0000, 0.0000, 0.0000], [0.7467, 0.8213, 0.5785], [0.4321, 0.4215, 0.8213], [0.3179, 0.6787, 0.0785], [0.4321, 0.8213, 0.4215], [0.0033, 0.6787, 0.9215], [0.6036, 0.0785, 0.3213], [0.6748, 0.5785, 0.1787], [0.3179, 0.0785, 0.6787], [0.6036, 0.3213, 0.0785], [0.7467, 0.5785, 0.8213], [0.8750, 0.2500, 0.2500], [0.8750, 0.2500, 0.7500], [0.3750, 0.7500, 0.7500], [0.8750, 0.7500, 0.2500], [0.5000, 0.0000, 0.0000], [0.2500, 0.5000, 0.5000]], "e_form_ev_per_atom": -0.13, "sg": "No. 141"}

No. 7
{"formula": "Nb2AgW", "functional": "PBE-GGA", "state": "relaxed", "lattice": [[0.0000, 3.2797, 3.2797], [3.2797, 0.0000, 3.2797], [3.2797, 3.2797, 0.0000]], "species": ["Nb", "Nb", "Ag", "W"], "fractional_positions": [[0.2500, 0.2500, 0.2500], [0.7500, 0.7500, 0.7500], [0.0000, 0.0000, 0.0000], [0.5000, 0.5000, 0.5000]], "e_form_ev_per_atom": 0.30, "e_above_lowest_polymorph_mev_per_atom": 0, "sg": "No. 225"}

No. 8
{"formula": "AlPSe2Br", "functional": "PBE-GGA", "state": "relaxed", "lattice": [[-2.2686, 4.3809, -0.4721], [-3.2748, -2.0316, -3.1162], [-2.8371, -1.0725, 3.6807]], "species": ["Al", "Se", "Se", "Br", "P"], "fractional_positions": [[0.0000, 0.0000, 0.0000], [0.5000, 0.0000, 0.0000], [0.0000, 0.5000, 0.0000], [0.0000, 0.0000, 0.5000], [0.5000, 0.5000, 0.5000]], "e_above_lowest_polymorph_mev_per_atom": 94, "sg": "No. 123", "e_form_raw_ev_per_atom": 0.4004}

No. 9
{"formula": "Ta2CrIn", "functional": "PBE-GGA", "state": "relaxed", "lattice": [[-2.7609, 0.9829, -3.8933], [-2.9693, -0.5586, 3.8233], [0.2147, 2.9994, 0.6050]], "species": ["In", "Ta", "Ta", "Cr"], "fractional_positions": [[0.0000, 0.5000, 0.5000], [0.5000, 0.5000, 0.0000], [0.0000, 0.0000, 0.0000], [0.5000, 0.0000, 0.5000]], "e_form_ev_per_atom": 0.34, "sg": "No. 65"}

No. 10
{"formula": "DyEr8Tm6", "functional": "PBE-GGA", "state": "relaxed", "lattice": [[-0.7586, -8.2295, -3.2753], [5.3865, -2.6959, -6.5380], [5.9846, -5.8742, 1.3090]], "species": ["Er", "Er", "Er", "Er", "Er", "Er", "Er", "Er", "Tm", "Tm", "Tm", "Tm", "Tm", "Tm", "Dy"], "fractional_positions": [[0.2575, 0.2790, 0.5728], [0.1093, 0.7425, 0.4272], [0.5764, 0.5764, 0.2708], [0.8907, 0.2575, 0.5728], [0.4236, 0.4236, 0.7292], [0.2790, 0.8907, 0.5728], [0.7210, 0.1093, 0.4272], [0.7425, 0.7210, 0.4272], [0.4593, 0.8877, 0.8788], [0.7743, 0.4593, 0.8788], [0.5407, 0.1123, 0.1212], [0.8877, 0.7743, 0.8788], [0.2257, 0.5407, 0.1212], [0.1123, 0.2257, 0.1212], [0.0000, 0.0000, 0.0000]], "e_form_ev_per_atom": 0.14, "e_above_lowest_polymorph_mev_per_atom": 0, "sg": "No. 148"}

No. 11
{"formula": "Ce3Tl2", "functional": "PBE-GGA", "state": "relaxed", "lattice": [[4.9574, 0.9882, 0.0000], [3.2930, 7.2094, 0.0000], [1.6465, 3.6047, 10.0751]], "species": ["Tl", "Tl", "Tl", "Tl", "Ce", "Ce", "Ce", "Ce", "Ce", "Ce"], "fractional_positions": [[0.5000, 0.5000, 0.5000], [0.5000, 0.0000, 0.5000], [0.0000, 0.1329, 0.7341], [0.0000, 0.8671, 0.2659], [0.7654, 0.6155, 0.1841], [0.6145, 0.2961, 0.0000], [0.2346, 0.3845, 0.8159], [0.7654, 0.7996, 0.8159], [0.2346, 0.2004, 0.1841], [0.3855, 0.7039, 0.0000]], "e_form_ev_per_atom": 0.22, "e_above_lowest_polymorph_mev_per_atom": 351, "sg": "No. 12"}

No. 12
{"formula": "Nb2NiW", "functional": "PBE-GGA", "state": "relaxed", "lattice": [[7.1385, 0.0000, 0.0000], [0.0000, 7.1385, 0.0000], [3.5692, 3.5692, 2.6573]], "species": ["Nb", "Nb", "Nb", "Nb", "Ni", "Ni", "W", "W"], "fractional_positions": [[0.6044, 0.1250, 0.2500], [0.1456, 0.6250, 0.2500], [0.8750, 0.8544, 0.7500], [0.3750, 0.3956, 0.7500], [0.5000, 0.5000, 0.0000], [0.2500, 0.7500, 0.5000], [0.0000, 0.0000, 0.0000], [0.7500, 0.2500, 0.5000]], "e_form_ev_per_atom": 0.53, "sg": "No. 122"}

| no. | magnetic moment (μB per cell) | Fermi-level density of states (states/eV per atom) |
| --- | --- | --- |
| 1 | 0.00 | 0.87 |
| 2 | 0.00 | 1.41 |
| 3 | 0.00 | 0.47 |
| 4 | 2.73 | 1.48 |
| 5 | 0.00 | 0.78 |
| 6 | 0.00 | 0.31 |
| 7 | 0.00 | 1.14 |
| 8 | 0.00 | 0.71 |
| 9 | 0.00 | 0.82 |
| 10 | 0.00 | 1.53 |
| 11 | 2.29 | 2.22 |
| 12 | 0.00 | 1.00 |